First-principles (PBE) data for a relaxed structure of TbHfSc, as listed in Alexandria via LeMat-Bulk.

Cell and atoms, written as extended XYZ:
```
3
Lattice="5.2143 0.0000 0.0000 -2.6071 4.5157 0.0000 0.0000 0.0000 3.2680" Properties=species:S:1:pos:R:3 pbc="T T T"
Tb 0.0000 0.0000 0.0000
Hf 2.6071 1.5052 1.6340
Sc 0.0000 3.0105 1.6340
```

Computed properties:
- energy relative to the lowest polymorph listed for this composition (meV/atom) = 124.5
- density (Mg/m³) = 8.25
- energy of formation from the pure elements (meV per atom) = 159
- E (eV/atom) = -6.81

First-principles (PBE) data for a relaxed structure of TbHfSc, as listed in Alexandria via LeMat-Bulk.

Cell and atoms, written as extended XYZ:
```
6
Lattice="3.3172 0.0000 0.0000 0.0000 4.5724 0.0000 0.0000 0.0000 10.1470" Properties=species:S:1:pos:R:3 pbc="T T T"
Tb 0.8293 1.1431 0.9860
Tb 2.4879 3.4293 9.1610
Hf 0.8293 1.1431 4.3272
Hf 2.4879 3.4293 5.8198
Sc 0.8293 1.1431 7.3702
Sc 2.4879 3.4293 2.7768
```

Computed properties:
- energy relative to the lowest polymorph listed for this composition (meV/atom) = 51.0
- density (Mg/m³) = 8.25
- energy of formation from the pure elements (meV per atom) = 86
- E (eV/atom) = -6.89

First-principles (PBE) data for a relaxed structure of TbHfSc3, as listed in Alexandria via LeMat-Bulk.

Cell and atoms, written as extended XYZ:
```
10
Lattice="5.6643 0.0000 0.0000 1.8948 6.2658 0.0000 1.9362 1.1521 7.0779" Properties=species:S:1:pos:R:3 pbc="T T T"
Tb 1.4237 0.4526 0.8020
Tb 8.0715 6.9654 6.2758
Hf 1.4713 2.1905 3.5517
Hf 8.0239 5.2274 3.5262
Sc 2.3734 3.5476 0.8216
Sc 4.2274 3.0352 4.8831
Sc 5.1976 6.1182 4.8434
Sc 4.2977 1.2997 2.2345
Sc 5.2678 4.3828 2.1948
Sc 7.1218 3.8703 6.2563
```

Computed properties:
- energy relative to the lowest polymorph listed for this composition (meV/atom) = 0.0
- density (Mg/m³) = 6.24
- energy of formation from the pure elements (meV per atom) = 77
- E (eV/atom) = -6.64

First-principles (PBE) data for a relaxed structure of TbHfSc, as listed in Alexandria via LeMat-Bulk.

Cell and atoms, written as extended XYZ:
```
3
Lattice="1.6659 0.9618 8.0228 -1.6659 0.9618 8.0228 0.0000 -1.9236 8.0228" Properties=species:S:1:pos:R:3 pbc="T T T"
Tb 0.0000 0.0000 0.0000
Hf 0.0000 0.0000 18.7215
Sc 0.0000 0.0000 5.1240
```

Computed properties:
- energy relative to the lowest polymorph listed for this composition (meV/atom) = 45.3
- density (Mg/m³) = 8.23
- energy of formation from the pure elements (meV per atom) = 80
- E (eV/atom) = -6.89